AlGaCuAu3: optimized geometry, PBE-GGA.

Cell lengths 6.5289, 3.7974, 8.5033 Å; angles 90.00, 109.24, 90.00 degrees
Fractional positions:
Al 0.0188 0.2500 0.3511
Al 0.9812 0.7500 0.6489
Ga 0.3338 0.2500 0.1740
Ga 0.6662 0.7500 0.8260
Cu 0.0100 0.7500 0.1098
Cu 0.9900 0.2500 0.8902
Au 0.2645 0.2500 0.6640
Au 0.3132 0.7500 0.9355
Au 0.3249 0.7500 0.4098
Au 0.6751 0.2500 0.5902
Au 0.6868 0.2500 0.0645
Au 0.7355 0.7500 0.3360

The value obtained for the energy relative to the elements is -0.19 eV/atom. As for the space group: P2_1/m, No. 11. The density of states at the Fermi level is 2.79 states/eV/cell.